This record from Alexandria describes HfFeO2 after structural relaxation. The functional is GGA+U.

Values from the calculation:
Crystal system: cubic
DOS at the Fermi energy: 0.99 states/eV/f.u.
Total moment: 3.958 μB/f.u.
Offset from the most stable computed form: 0.479 eV per atom

Cell and atoms, written as POSCAR:
```
HfFeO2
1.0
1.723 -2.739 2.172
-1.946 -3.240 0.954
0.996 -3.413 -1.597
Hf Fe O
1 1 2
direct
0.500 0.500 0.500 Hf
0.000 0.000 0.000 Fe
0.250 0.250 0.250 O
0.750 0.750 0.750 O
```